Here is an optimized crystal structure of Pm2BeFeO6 from Alexandria. Energies are from PBE+U.

```
Pm2BeFeO6
1.0
5.3261 0.0000 0.0000
0.0000 5.2552 0.0000
-5.3012 0.0000 7.4876
Pm Be Fe O
4 2 2 12
Cartesian
-0.0215 0.1437 1.8624
-2.6721 2.4838 5.6062
2.6970 2.7713 1.8814
0.0464 5.1114 5.6252
-2.6506 0.0000 3.7438
0.0000 2.6276 0.0000
2.6630 0.0000 0.0000
0.0125 2.6276 3.7438
-4.1190 1.2146 7.2190
-1.4684 1.4130 3.4752
-3.8383 3.8226 7.2313
-1.1877 4.0602 3.4875
-2.2994 0.0278 5.5832
0.3512 2.5998 1.8394
-0.3263 2.6554 5.6482
2.3243 5.2274 1.9044
1.2126 1.1950 4.0001
3.8632 1.4326 0.2563
1.4933 3.8422 4.0124
4.1439 4.0405 0.2686
```

Summary:
For the total energy, the calculation gives -7.2984 eV per atom. Its crystal system is monoclinic. As for the space-group type: P2_1/c.